DFT (PBE with a Hubbard U) results for La2PuFeO8 after structural relaxation.

Properties
Total energy ... -8.2346 eV/atom

```
data_La2PuFeO8
_chemical_formula_sum 'La2 Pu1 Fe1 O8'
_symmetry_space_group_name_H-M 'P 1'
_symmetry_Int_Tables_number 1
_cell_length_a 4.462
_cell_length_b 5.365
_cell_length_c 7.585
_cell_angle_alpha 80.11
_cell_angle_beta 94.70
_cell_angle_gamma 100.06
loop_
_symmetry_equiv_pos_as_xyz
'x,y,z'
loop_
_atom_site_label
_atom_site_fract_x
_atom_site_fract_y
_atom_site_fract_z
O1 0.037 0.830 0.743
O2 0.600 0.781 0.992
O3 0.101 0.719 0.169
O4 0.963 0.170 0.257
O5 0.320 0.254 0.538
O6 0.899 0.281 0.831
O7 0.400 0.219 0.008
O8 0.680 0.746 0.462
La1 0.456 0.562 0.732
La2 0.544 0.438 0.268
Fe1 0.000 0.000 0.500
Pu1 0.000 0.000 0.000
```